[1]
First-principles (PBE) data for a relaxed structure of RbTlTeN2, as listed in the Alexandria database.

Results
Total DFT energy (no corrections)   -0.121 Ha/atom
Formation energy without anion corrections   1.331 eV/atom
Symmetry   No. 123

POSCAR file:
```
RbTlTeN2
1.0
4.964 0.000 0.000
0.000 4.964 0.000
0.000 0.000 5.982
Rb Tl Te N
1 1 1 2
Cartesian
0.000 0.000 0.000 Rb
2.482 2.482 2.991 Tl
2.482 2.482 0.000 Te
0.000 2.482 2.991 N
2.482 0.000 2.991 N
```



[2]
First-principles (PBE) data for a relaxed structure of RbTlTeN2, as listed in the Alexandria database.

Results
Total DFT energy (no corrections)   -0.105 Ha/atom
Formation energy without anion corrections   1.774 eV/atom
Symmetry   No. 123

POSCAR file:
```
RbTlTeN2
1.0
5.370 0.000 0.000
0.000 5.370 0.000
0.000 0.000 7.279
Rb Tl Te N
1 1 1 2
Cartesian
0.000 0.000 0.000 Rb
2.685 2.685 3.639 Tl
0.000 0.000 3.639 Te
0.000 2.685 0.000 N
2.685 0.000 0.000 N
```



[3]
First-principles (PBE) data for a relaxed structure of RbVTeN2, as listed in the Alexandria database.

Results
Total DFT energy (no corrections)   -0.115 Ha/atom
Formation energy without anion corrections   2.841 eV/atom
Symmetry   No. 123

POSCAR file:
```
RbVTeN2
1.0
4.171 0.000 0.000
0.000 4.171 0.000
0.000 0.000 6.465
Rb V Te N
1 1 1 2
Cartesian
0.000 0.000 0.000 Rb
2.085 2.085 3.232 V
0.000 0.000 3.232 Te
0.000 2.085 0.000 N
2.085 0.000 0.000 N
```



[4]
First-principles (PBE) data for a relaxed structure of RbVTe2N, as listed in the Alexandria database.

Results
Total DFT energy (no corrections)   -0.099 Ha/atom
Formation energy without anion corrections   2.236 eV/atom
Symmetry   No. 123

POSCAR file:
```
RbVTe2N
1.0
6.013 0.000 0.000
0.000 6.013 0.000
0.000 0.000 4.285
Rb V Te N
1 1 2 1
Cartesian
0.000 0.000 0.000 Rb
3.006 3.006 2.143 V
0.000 3.006 0.000 Te
3.006 0.000 0.000 Te
0.000 0.000 2.143 N
```



[5]
First-principles (PBE) data for a relaxed structure of RbVTeN2, as listed in the Alexandria database.

Results
Total DFT energy (no corrections)   -0.197 Ha/atom
Formation energy without anion corrections   0.605 eV/atom
Symmetry   No. 123

POSCAR file:
```
RbVTeN2
1.0
4.231 0.000 0.000
0.000 4.231 0.000
0.000 0.000 5.363
Rb V Te N
1 1 1 2
Cartesian
0.000 0.000 0.000 Rb
2.115 2.115 2.681 V
2.115 2.115 0.000 Te
0.000 2.115 2.681 N
2.115 0.000 2.681 N
```



[6]
First-principles (PBE) data for a relaxed structure of RbVTe2N, as listed in the Alexandria database.

Results
Total DFT energy (no corrections)   -0.188 Ha/atom
Formation energy without anion corrections   -0.168 eV/atom
Symmetry   No. 123

POSCAR file:
```
RbVTe2N
1.0
5.961 0.000 0.000
0.000 5.961 0.000
0.000 0.000 3.627
Rb V Te N
1 1 2 1
Cartesian
0.000 0.000 0.000 Rb
2.980 2.980 1.814 V
0.000 2.980 1.814 Te
2.980 0.000 1.814 Te
2.980 2.980 0.000 N
```



In eV/atom, the energy above the lowest structure with this stoichiometry values for the records above are, in order, 0.0000, 0.4428, 2.2357, 2.4034, 0.0000, 0.0000.